[1]
A plane-wave DFT calculation with PBE was carried out for a geometry-optimized Hf6TlC structure.

a b c (Å): 8.5589 8.5589 7.7141
angles (deg): 90.00 90.00 120.00
Space group R-3 (No. 148, hexagonal axes)
Symmetry-distinct sites (fractional):
1 Hf 0.0694 0.8241 0.1604
2 Tl 0.0000 0.0000 0.5000
3 C 0.0000 0.0000 0.0000

As for the energy of formation: -19 kJ per mole of atoms. As for the density: 13.104 Mg/m³. The value obtained for the total energy is -218.55 eV per cell. As for the spin magnetization: 0.000 μB per atom.

***

[2]
A plane-wave DFT calculation with PBE was carried out for a geometry-optimized RbRu3Br structure.

a b c (Å): 5.027 5.027 5.027
angles (deg): 90.00 90.00 90.00
Space group Pm-3m (No. 221)
Symmetry-distinct sites (fractional):
1 Rb 0.000 0.000 0.000
2 Ru 0.000 0.000 0.500
3 Br 0.500 0.500 0.500

As for the density: 6.124 Mg/m³. Its energy above the most stable polymorph in this dataset is 1362.2 meV per atom. The value obtained for the total energy is -15.56 eV per cell. As for the spin magnetization: 1.336 μB per atom.

***

[3]
A plane-wave DFT calculation with PBE was carried out for a geometry-optimized Rb2BiBF6 structure.

a b c (Å): 9.096 9.096 9.096
angles (deg): 90.00 90.00 90.00
Space group Fm-3m (No. 225)
Symmetry-distinct sites (fractional):
1 Rb 0.250 0.250 0.250
2 Bi 0.000 0.000 0.000
3 B 0.000 0.000 0.500
4 F 0.000 0.000 0.250

As for the density: 4.455 Mg/m³. The value obtained for the total energy is -172.00 eV per cell. As for the spin magnetization: 0.000 μB per atom.

***

[4]
A plane-wave DFT calculation with PBE was carried out for a geometry-optimized YW2I structure.

a b c (Å): 6.841 6.841 6.841
angles (deg): 90.00 90.00 90.00
Space group Fm-3m (No. 225)
Symmetry-distinct sites (fractional):
1 Y 0.000 0.000 0.000
2 W 0.250 0.250 0.250
3 I 0.000 0.000 0.500

As for the density: 12.105 Mg/m³. Its energy above the most stable polymorph in this dataset is 371.9 meV per atom. The value obtained for the total energy is -113.61 eV per cell. As for the spin magnetization: 0.000 μB per atom.

***

[5]
A plane-wave DFT calculation with PBE was carried out for a geometry-optimized In3AgPd6 structure.

a b c (Å): 7.658 4.742 10.136
angles (deg): 90.00 111.99 90.00
Space group P2_1/m (No. 11)
Symmetry-distinct sites (fractional):
1 In 0.071 0.250 0.221
2 In 0.298 0.250 0.016
3 In 0.332 0.750 0.383
4 Ag 0.120 0.750 0.575
5 Pd 0.080 0.250 0.723
6 Pd 0.111 0.750 0.076
7 Pd 0.282 0.250 0.519
8 Pd 0.313 0.750 0.873
9 Pd 0.475 0.250 0.316
10 Pd 0.484 0.250 0.821

As for the energy of formation: -39 kJ per mole of atoms. As for the density: 10.615 Mg/m³. Its energy above the most stable polymorph in this dataset is 0.0 meV per atom. The value obtained for the total energy is -92.58 eV per cell. As for the spin magnetization: 0.000 μB per atom.

***

[6]
A plane-wave DFT calculation with PBE was carried out for a geometry-optimized LaPr6Nd8 structure.

a b c (Å): 9.5604 9.5604 20.5774
angles (deg): 90.00 90.00 120.00
Space group R-3 (No. 148, hexagonal axes)
Symmetry-distinct sites (fractional):
1 La 0.0000 0.0000 0.0000
2 Pr 0.0434 0.2472 0.6905
3 Nd 0.0000 0.0000 0.4284
4 Nd 0.0643 0.2464 0.1639

As for the energy of formation: 13 kJ per mole of atoms. As for the density: 6.540 Mg/m³. Its energy above the most stable polymorph in this dataset is 0.0 meV per atom. The value obtained for the total energy is -209.09 eV per cell. As for the spin magnetization: 0.000 μB per atom.

***

[7]
A plane-wave DFT calculation with PBE was carried out for a geometry-optimized Tl3In2Ga structure.

a b c (Å): 8.052 13.774 6.676
angles (deg): 90.00 90.00 90.00
Space group Ibam (No. 72)
Symmetry-distinct sites (fractional):
1 Tl 0.000 0.000 0.250
2 Tl 0.212 0.339 0.000
3 In 0.224 0.385 0.500
4 Ga 0.000 0.500 0.250

As for the energy of formation: 9 kJ per mole of atoms. As for the density: 8.186 Mg/m³. The value obtained for the total energy is -60.14 eV per cell. As for the spin magnetization: 0.000 μB per atom.

***

[8]
A plane-wave DFT calculation with PBE was carried out for a geometry-optimized ScAlZn2H structure.

a b c (Å): 4.129 4.129 4.086
angles (deg): 90.00 90.00 90.00
Space group P4/mmm (No. 123)
Symmetry-distinct sites (fractional):
1 Sc 0.000 0.000 0.000
2 Al 0.500 0.500 0.000
3 Zn 0.000 0.500 0.500
4 H 0.000 0.000 0.500

As for the density: 4.858 Mg/m³. The value obtained for the total energy is -17.08 eV per cell. As for the spin magnetization: 0.000 μB per atom.

***

[9]
A plane-wave DFT calculation with PBE was carried out for a geometry-optimized LaAgRu2 structure.

a b c (Å): 2.991 4.612 5.390
angles (deg): 90.00 93.65 90.00
Space group P2/m (No. 10)
Symmetry-distinct sites (fractional):
1 La 0.000 0.000 0.000
2 Ag 0.500 0.000 0.500
3 Ru 0.226 0.500 0.777

As for the energy of formation: 37 kJ per mole of atoms. As for the density: 10.047 Mg/m³. Its energy above the most stable polymorph in this dataset is 197.5 meV per atom. The value obtained for the total energy is -24.79 eV per cell. As for the spin magnetization: 0.000 μB per atom.

***

[10]
A plane-wave DFT calculation with PBE was carried out for a geometry-optimized TiAuF3 structure.

a b c (Å): 4.480 4.480 4.480
angles (deg): 90.00 90.00 90.00
Space group Pm-3m (No. 221)
Symmetry-distinct sites (fractional):
1 Ti 0.000 0.000 0.000
2 Au 0.500 0.500 0.500
3 F 0.000 0.500 0.500

As for the density: 5.574 Mg/m³. Its energy above the most stable polymorph in this dataset is 1336.4 meV per atom. The value obtained for the total energy is -19.70 eV per cell. As for the spin magnetization: 0.497 μB per atom.

***

[11]
A plane-wave DFT calculation with PBE was carried out for a geometry-optimized Nd6NiRh2Cl3 structure.

a b c (Å): 19.141 4.085 8.899
angles (deg): 90.00 110.22 90.00
Space group C2/m (No. 12)
Symmetry-distinct sites (fractional):
1 Nd 0.009 0.000 0.220
2 Nd 0.155 0.500 0.104
3 Nd 0.177 0.500 0.556
4 Ni 0.000 0.500 0.000
5 Rh 0.165 0.000 0.328
6 Cl 0.000 0.500 0.500
7 Cl 0.166 0.000 0.833

As for the density: 6.289 Mg/m³. The value obtained for the total energy is -135.24 eV per cell. As for the spin magnetization: 0.000 μB per atom.

***

[12]
A plane-wave DFT calculation with PBE was carried out for a geometry-optimized YSi2Ni6 structure.

a b c (Å): 3.929 3.929 7.699
angles (deg): 90.00 90.00 90.00
Space group P4/mmm (No. 123)
Symmetry-distinct sites (fractional):
1 Y 0.000 0.000 0.000
2 Si 0.500 0.500 0.160
3 Ni 0.000 0.000 0.500
4 Ni 0.000 0.500 0.306
5 Ni 0.500 0.500 0.500

As for the density: 6.947 Mg/m³. The value obtained for the total energy is -55.86 eV per cell. As for the spin magnetization: 0.053 μB per atom.